Version a
Density functional theory data (PBE) for a relaxed structure of CsMo.

Cell: 5.646 5.646 5.646 Å, 60.00 60.00 60.00°
Atoms (fractional coordinates):
Cs  0.000  0.000  0.000
Mo  0.500  0.500  0.500

Results
calculated volume = 63.623 Å³ per atom
calculated density = 3.0 g cm⁻³

---

Version b
Density functional theory data (PBE) for a relaxed structure of CsMo.

Cell: 3.161 3.161 6.362 Å, 90.00 90.00 120.00°
Atoms (fractional coordinates):
Cs  0.667  0.333  0.750
Mo  0.333  0.667  0.250

Results
calculated volume = 27.524 Å³ per atom
calculated density = 6.9 g cm⁻³

---

Energy ordering: version b at the bottom, the next structure 316 meV/atom above.

---

Version a
Density functional theory data (PBE) for a relaxed structure of CsNaNiMo.

Cell: 5.094 5.094 5.094 Å, 60.00 60.00 60.00°
Atoms (fractional coordinates):
Cs  0.000  0.000  0.000
Mo  0.250  0.250  0.250
Na  0.750  0.750  0.750
Ni  0.500  0.500  0.500

Results
calculated volume = 23.367 Å³ per atom
calculated density = 5.5 g cm⁻³

---

Version b
Density functional theory data (PBE) for a relaxed structure of CsNaNiMo.

Cell: 5.265 5.265 5.265 Å, 60.00 60.00 60.00°
Atoms (fractional coordinates):
Cs  0.500  0.500  0.500
Mo  0.000  0.000  0.000
Na  0.750  0.750  0.750
Ni  0.250  0.250  0.250

Results
calculated volume = 25.806 Å³ per atom
calculated density = 5.0 g cm⁻³

---

Energy ordering: version b at the bottom, the next structure 25 meV/atom above.

---

Version a
Density functional theory data (PBE) for a relaxed structure of CsNaMoPt.

Cell: 5.095 5.095 5.095 Å, 60.00 60.00 60.00°
Atoms (fractional coordinates):
Cs  0.000  0.000  0.000
Mo  0.250  0.250  0.250
Na  0.750  0.750  0.750
Pt  0.500  0.500  0.500

Results
calculated volume = 23.383 Å³ per atom
calculated density = 7.9 g cm⁻³

---

Version b
Density functional theory data (PBE) for a relaxed structure of CsNaMoPt.

Cell: 5.283 5.283 5.283 Å, 60.00 60.00 60.00°
Atoms (fractional coordinates):
Cs  0.500  0.500  0.500
Mo  0.000  0.000  0.000
Na  0.750  0.750  0.750
Pt  0.250  0.250  0.250

Results
calculated volume = 26.068 Å³ per atom
calculated density = 7.1 g cm⁻³

---

Version c
Density functional theory data (PBE) for a relaxed structure of CsNaMoPt.

Cell: 5.323 5.323 5.323 Å, 60.00 60.00 60.00°
Atoms (fractional coordinates):
Cs  0.250  0.250  0.250
Mo  0.000  0.000  0.000
Na  0.750  0.750  0.750
Pt  0.500  0.500  0.500

Results
calculated volume = 26.656 Å³ per atom
calculated density = 7.0 g cm⁻³

---

Energy ordering: version a at the bottom, the next structure 18 meV/atom above.

---

Version a
Density functional theory data (PBE) for a relaxed structure of CsPaMo.

Cell: 4.841 4.841 4.841 Å, 60.00 60.00 60.00°
Site moments in Bohr magnetons follow the coordinates.
Atoms (fractional coordinates):
Cs  0.000  0.000  0.000  0.04
Mo  0.750  0.750  0.750  1.23
Pa  0.250  0.250  0.250  -0.34

Results
calculated volume = 26.743 Å³ per atom
calculated density = 9.5 g cm⁻³

---

Version b
Density functional theory data (PBE) for a relaxed structure of CsPaMo.

Cell: 4.952 4.952 4.952 Å, 60.00 60.00 60.00°
Atoms (fractional coordinates):
Cs  0.250  0.250  0.250
Mo  0.000  0.000  0.000
Pa  0.750  0.750  0.750

Results
calculated volume = 28.630 Å³ per atom
calculated density = 8.9 g cm⁻³

---

Energy ordering: version b at the bottom, the next structure 679 meV/atom above.

---

Version a
Density functional theory data (PBE) for a relaxed structure of CsMoPb.

Cell: 5.677 5.677 5.677 Å, 60.00 60.00 60.00°
Atoms (fractional coordinates):
Cs  0.000  0.000  0.000
Mo  0.250  0.250  0.250
Pb  0.750  0.750  0.750

Results
calculated volume = 43.135 Å³ per atom
calculated density = 5.6 g cm⁻³

---

Version b
Density functional theory data (PBE) for a relaxed structure of CsMoPb.

Cell: 5.325 5.325 5.325 Å, 60.00 60.00 60.00°
Atoms (fractional coordinates):
Cs  0.250  0.250  0.250
Mo  0.000  0.000  0.000
Pb  0.750  0.750  0.750

Results
calculated volume = 35.592 Å³ per atom
calculated density = 6.8 g cm⁻³

---

Energy ordering: version b at the bottom, the next structure 605 meV/atom above.

---

Version a
Density functional theory data (PBE) for a relaxed structure of CsPmMo.

Cell: 5.004 5.004 5.004 Å, 60.00 60.00 60.00°
Site moments in Bohr magnetons follow the coordinates.
Atoms (fractional coordinates):
Cs  0.000  0.000  0.000  0.06
Mo  0.750  0.750  0.750  2.24
Pm  0.250  0.250  0.250  -0.14

Results
calculated volume = 29.535 Å³ per atom
calculated density = 7.0 g cm⁻³

---

Version b
Density functional theory data (PBE) for a relaxed structure of CsPmMo.

Cell: 5.235 5.235 5.235 Å, 60.00 60.00 60.00°
Atoms (fractional coordinates):
Cs  0.250  0.250  0.250
Mo  0.750  0.750  0.750
Pm  0.000  0.000  0.000

Results
calculated volume = 33.809 Å³ per atom
calculated density = 6.1 g cm⁻³

---

Energy ordering: version b at the bottom, the next structure 158 meV/atom above.